(1)
The following is a DFT calculation (GGA+U) of an optimized crystal structure of AcCo2AsO8. Values from VASP.

Space-group type ... No. 147

Structure (Quantum ESPRESSO input):
```
&SYSTEM
  ibrav = 0, nat = 12, ntyp = 4
/
ATOMIC_SPECIES
Ac 227.00 Ac.upf
Co 58.93 Co.upf
As 74.92 As.upf
O 16.00 O.upf
CELL_PARAMETERS angstrom
5.130 0.000 0.000
-2.565 4.443 0.000
0.000 0.000 6.952
ATOMIC_POSITIONS crystal
Ac 0.000 0.000 0.000
Co 0.333 0.667 0.718
Co 0.667 0.333 0.282
As 0.000 0.000 0.500
O 0.022 0.293 0.665
O 0.272 0.978 0.665
O 0.293 0.272 0.335
O 0.333 0.667 0.970
O 0.667 0.333 0.030
O 0.707 0.728 0.665
O 0.728 0.022 0.335
O 0.978 0.707 0.335
```

(2)
The following is a DFT calculation (GGA+U) of an optimized crystal structure of V3SF. Values from VASP.

Space-group type ... No. 221

Structure (Quantum ESPRESSO input):
```
&SYSTEM
  ibrav = 0, nat = 5, ntyp = 3
/
ATOMIC_SPECIES
V 50.94 V.upf
S 32.06 S.upf
F 19.00 F.upf
CELL_PARAMETERS angstrom
4.714 0.000 0.000
0.000 4.714 0.000
0.000 0.000 4.714
ATOMIC_POSITIONS crystal
V 0.000 0.000 0.500
V 0.000 0.500 0.000
V 0.500 0.000 0.000
S 0.000 0.000 0.000
F 0.500 0.500 0.500
```

Calculated values (eV per atom) of calculated total energy for the records, taken in order: -6.21, -5.20.